No. 1
BaSn2S5 | PBE | relaxed

* formation energy from raw total energies: -646 kJ/mol of formula units
* magnetization: 0.00 μB per formula unit
* volume: 213.6 Å³/f.u.

a = 6.747 Å, b = 10.836 Å, c = 11.685 Å
α = 90.00°, β = 90.00°, γ = 90.00°
Atoms (fractional coordinates):
1 S 0.050 0.527 0.352
2 Sn 0.746 0.059 0.474
3 Ba 0.750 0.750 0.700
4 S 0.550 0.027 0.648
5 S 0.050 0.973 0.852
6 S 0.950 0.027 0.148
7 S 0.550 0.473 0.148
8 Ba 0.750 0.750 0.200
9 S 0.750 0.250 0.849
10 Sn 0.754 0.441 0.474
11 Sn 0.246 0.941 0.026
12 Sn 0.754 0.059 0.974
13 S 0.072 0.135 0.563
14 S 0.428 0.135 0.063
15 S 0.572 0.865 0.937
16 S 0.450 0.527 0.852
17 S 0.928 0.635 0.937
18 S 0.428 0.365 0.563
19 S 0.928 0.865 0.437
20 S 0.572 0.635 0.437
21 S 0.250 0.750 0.151
22 Ba 0.250 0.250 0.300
23 Sn 0.254 0.941 0.526
24 S 0.072 0.365 0.063
25 S 0.450 0.973 0.352
26 S 0.950 0.473 0.648
27 S 0.250 0.750 0.651
28 Sn 0.246 0.559 0.526
29 Sn 0.254 0.559 0.026
30 S 0.750 0.250 0.349
31 Ba 0.250 0.250 0.800
32 Sn 0.746 0.441 0.974

---

No. 2
BaSn2S3 | PBE | relaxed

* formation energy from raw total energies: -550 kJ/mol of formula units
* relative energy among the computed polymorphs: 64 meV/atom
* magnetization: 0.00 μB per formula unit
* volume: 174.5 Å³/f.u.

a = 6.318 Å, b = 8.635 Å, c = 7.447 Å
α = 106.67°, β = 115.10°, γ = 90.00°
Atoms (fractional coordinates):
1 S 0.895 0.910 0.649
2 S 0.754 0.410 0.649
3 Sn 0.354 0.438 0.674
4 Ba 0.003 0.750 0.000
5 Ba 0.997 0.250 0.000
6 Sn 0.319 0.938 0.674
7 Sn 0.681 0.062 0.326
8 S 0.246 0.590 0.351
9 S 0.495 0.250 0.000
10 Sn 0.646 0.562 0.326
11 S 0.505 0.750 0.000
12 S 0.105 0.090 0.351

---

No. 3
BaSn3S | PBE | relaxed

* formation energy from raw total energies: -94 kJ/mol of formula units
* relative energy among the computed polymorphs: 0 meV/atom
* magnetization: 0.00 μB per formula unit
* volume: 163.6 Å³/f.u.

a = 5.470 Å, b = 5.470 Å, c = 5.470 Å
α = 90.00°, β = 90.00°, γ = 90.00°
Atoms (fractional coordinates):
1 S 0.000 0.000 0.000
2 Sn 0.000 0.000 0.500
3 Sn 0.500 0.000 0.000
4 Sn 0.000 0.500 0.000
5 Ba 0.500 0.500 0.500

---

No. 4
BaSnS4 | PBE | relaxed

* formation energy from raw total energies: -443 kJ/mol of formula units
* magnetization: 0.00 μB per formula unit
* volume: 172.4 Å³/f.u.

a = 6.763 Å, b = 7.180 Å, c = 8.059 Å
α = 116.46°, β = 99.16°, γ = 90.00°
Atoms (fractional coordinates):
1 S 0.239 0.741 0.481
2 S 0.000 0.257 0.000
3 S 0.761 0.259 0.519
4 Sn 0.247 0.575 0.149
5 S 0.000 0.743 0.000
6 S 0.486 0.174 0.853
7 S 0.514 0.322 0.147
8 Ba 0.790 0.813 0.627
9 Ba 0.210 0.187 0.373
10 S 0.514 0.826 0.147
11 S 0.486 0.678 0.853
12 Sn 0.753 0.425 0.851

---

No. 5
BaSn2S3 | PBE | relaxed

* formation energy from raw total energies: -561 kJ/mol of formula units
* relative energy among the computed polymorphs: 44 meV/atom
* magnetization: 0.00 μB per formula unit
* volume: 167.4 Å³/f.u.

a = 4.259 Å, b = 11.884 Å, c = 13.229 Å
α = 89.20°, β = 90.00°, γ = 90.00°
Atoms (fractional coordinates):
1 Ba 0.000 0.611 0.202
2 S 0.500 0.147 0.796
3 S 0.500 0.150 0.482
4 Ba 0.000 0.614 0.533
5 S 0.000 0.357 0.646
6 Ba 0.000 0.603 0.865
7 S 0.500 0.655 0.034
8 S 0.500 0.154 0.154
9 S 0.000 0.366 0.999
10 Sn 0.500 0.874 0.719
11 S 0.500 0.656 0.700
12 Sn 0.500 0.359 0.450
13 Sn 0.500 0.354 0.774
14 Sn 0.500 0.884 0.387
15 Ba 0.000 0.098 0.967
16 S 0.000 0.882 0.512
17 Sn 0.000 0.116 0.290
18 Sn 0.000 0.115 0.620
19 S 0.000 0.869 0.846
20 S 0.000 0.883 0.169
21 S 0.500 0.666 0.366
22 S 0.000 0.351 0.321
23 Sn 0.500 0.368 0.122
24 Sn 0.500 0.866 0.046

---

No. 6
Ba2SnS | PBE | relaxed

* formation energy from raw total energies: -309 kJ/mol of formula units
* relative energy among the computed polymorphs: 128 meV/atom
* magnetization: 2.00 μB per formula unit
* volume: 141.4 Å³/f.u.

a = 5.848 Å, b = 5.848 Å, c = 5.848 Å
α = 60.00°, β = 60.00°, γ = 60.00°
Each line ends with the local moment (μB).
Atoms (fractional coordinates):
1 Ba 0.750 0.750 0.750  0.10
2 S 0.000 0.000 0.000  0.20
3 Sn 0.500 0.500 0.500  0.56
4 Ba 0.250 0.250 0.250  0.10

---

No. 7
Ba12Sn3S5 | PBE | relaxed

* formation energy from raw total energies: -2253 kJ/mol of formula units
* magnetization: 0.00 μB per formula unit
* volume: 917.0 Å³/f.u.

a = 16.827 Å, b = 16.827 Å, c = 16.827 Å
α = 109.47°, β = 109.47°, γ = 109.47°
Atoms (fractional coordinates):
1 Ba 0.214 0.675 0.084
2 Ba 0.909 0.825 0.539
3 Ba 0.584 0.714 0.675
4 Ba 0.416 0.286 0.325
5 S 0.375 0.250 0.125
6 S 0.500 0.500 0.500
7 Ba 0.916 0.091 0.630
8 Ba 0.591 0.961 0.675
9 Sn 0.750 0.375 0.125
10 Sn 0.250 0.125 0.375
11 Ba 0.909 0.084 0.870
12 S 0.000 0.500 0.000
13 Sn 0.250 0.625 0.875
14 S 0.750 0.625 0.375
15 S 0.750 0.125 0.875
16 Ba 0.870 0.584 0.909
17 Sn 0.375 0.625 0.250
18 S 0.000 0.000 0.000
19 Ba 0.325 0.786 0.416
20 S 0.000 0.500 0.500
21 S 0.250 0.875 0.125
22 Ba 0.084 0.175 0.214
23 Ba 0.039 0.409 0.825
24 Ba 0.584 0.870 0.409
25 Ba 0.091 0.175 0.461
26 Ba 0.825 0.909 0.039
27 S 0.125 0.750 0.375
28 Ba 0.675 0.461 0.591
29 Ba 0.084 0.909 0.370
30 Ba 0.870 0.286 0.461
31 S 0.875 0.250 0.625
32 Ba 0.039 0.630 0.714
33 Ba 0.786 0.325 0.916
34 Ba 0.630 0.591 0.916
35 S 0.125 0.375 0.250
36 Ba 0.786 0.461 0.370
37 Ba 0.370 0.961 0.786
38 Ba 0.091 0.916 0.130
39 Sn 0.625 0.375 0.750
40 Sn 0.750 0.875 0.625
41 Ba 0.539 0.325 0.909
42 S 0.000 0.000 0.500
43 Ba 0.370 0.409 0.084
44 Ba 0.461 0.786 0.870
45 Ba 0.675 0.214 0.584
46 S 0.625 0.875 0.250
47 S 0.375 0.125 0.750
48 S 0.500 0.000 0.500
49 S 0.875 0.625 0.750
50 Sn 0.875 0.750 0.125
51 Ba 0.130 0.714 0.539
52 Ba 0.286 0.416 0.825
53 Ba 0.416 0.130 0.591
54 Ba 0.714 0.584 0.175
55 Ba 0.130 0.416 0.091
56 Sn 0.125 0.875 0.750
57 Ba 0.714 0.130 0.039
58 Ba 0.630 0.039 0.214
59 Sn 0.625 0.250 0.375
60 Ba 0.409 0.370 0.584
61 Ba 0.175 0.091 0.961
62 Ba 0.214 0.539 0.630
63 Sn 0.125 0.250 0.875
64 Ba 0.409 0.039 0.325
65 Ba 0.539 0.214 0.130
66 Ba 0.461 0.675 0.091
67 Sn 0.875 0.125 0.250
68 S 0.500 0.000 0.000
69 Ba 0.961 0.591 0.175
70 Ba 0.175 0.084 0.714
71 Sn 0.375 0.750 0.625
72 Ba 0.591 0.630 0.416
73 Ba 0.916 0.825 0.786
74 Ba 0.286 0.870 0.961
75 Ba 0.325 0.539 0.409
76 S 0.625 0.750 0.875
77 Ba 0.961 0.370 0.286
78 S 0.500 0.500 0.000
79 S 0.250 0.375 0.625
80 Ba 0.825 0.916 0.286

---

No. 8
BaSnS2 | PBE | relaxed

* formation energy from raw total energies: -439 kJ/mol of formula units
* magnetization: 0.00 μB per formula unit
* volume: 117.0 Å³/f.u.

a = 4.287 Å, b = 4.287 Å, c = 7.756 Å
α = 73.95°, β = 73.95°, γ = 60.00°
Atoms (fractional coordinates):
1 Ba 0.499 0.499 0.503
2 S 0.256 0.256 0.231
3 S 0.077 0.077 0.770
4 Sn 0.668 0.668 0.996

---

No. 9
Ba2Sn2S | PBE | relaxed

* formation energy from raw total energies: -199 kJ/mol of formula units
* relative energy among the computed polymorphs: 139 meV/atom
* magnetization: 0.00 μB per formula unit
* volume: 194.3 Å³/f.u.

a = 6.772 Å, b = 6.772 Å, c = 6.394 Å
α = 58.02°, β = 58.02°, γ = 90.00°
Atoms (fractional coordinates):
1 Sn 0.333 0.333 0.334
2 S 0.000 0.000 0.000
3 Sn 0.667 0.667 0.666
4 Ba 0.750 0.250 0.500
5 Ba 0.250 0.750 0.500

---

No. 10
BaSn3S4 | PBE | relaxed

* formation energy from raw total energies: -645 kJ/mol of formula units
* magnetization: 0.00 μB per formula unit
* volume: 219.7 Å³/f.u.

a = 4.157 Å, b = 4.515 Å, c = 11.710 Å
α = 88.30°, β = 90.00°, γ = 90.00°
Atoms (fractional coordinates):
1 Sn 0.000 0.335 0.361
2 S 0.000 0.446 0.146
3 S 0.500 0.536 0.882
4 Ba 0.500 0.626 0.609
5 S 0.500 0.966 0.354
6 S 0.000 0.122 0.665
7 Sn 0.000 0.157 0.885
8 Sn 0.500 0.813 0.098

---

No. 11
Ba2Sn2S | PBE | relaxed

* formation energy from raw total energies: -266 kJ/mol of formula units
* relative energy among the computed polymorphs: 0 meV/atom
* magnetization: 0.00 μB per formula unit
* volume: 176.3 Å³/f.u.

a = 8.245 Å, b = 8.245 Å, c = 5.187 Å
α = 90.00°, β = 90.00°, γ = 90.00°
Atoms (fractional coordinates):
1 Ba 0.173 0.673 0.500
2 S 0.000 0.000 0.000
3 Sn 0.630 0.130 0.000
4 Ba 0.327 0.173 0.500
5 Ba 0.827 0.327 0.500
6 Ba 0.673 0.827 0.500
7 Sn 0.870 0.630 0.000
8 Sn 0.130 0.370 0.000
9 Sn 0.370 0.870 0.000
10 S 0.500 0.500 0.000

---

No. 12
Ba4SnS5 | PBE | relaxed

* formation energy from raw total energies: -1679 kJ/mol of formula units
* magnetization: 0.00 μB per formula unit
* volume: 323.7 Å³/f.u.

a = 6.424 Å, b = 7.791 Å, c = 7.791 Å
α = 80.21°, β = 65.65°, γ = 65.65°
Atoms (fractional coordinates):
1 Sn 0.028 0.000 0.000
2 S 0.431 0.000 0.000
3 Ba 0.607 0.600 0.198
4 S 0.301 0.803 0.609
5 S 0.104 0.609 0.197
6 S 0.910 0.391 0.803
7 Ba 0.804 0.802 0.600
8 S 0.713 0.197 0.391
9 Ba 0.207 0.198 0.400
10 Ba 0.404 0.400 0.802

---

No. 13
Ba2Sn3S8 | PBE | relaxed

* formation energy from raw total energies: -1124 kJ/mol of formula units
* magnetization: 0.00 μB per formula unit
* volume: 369.9 Å³/f.u.

a = 6.685 Å, b = 7.759 Å, c = 8.459 Å
α = 117.30°, β = 106.33°, γ = 90.00°
Atoms (fractional coordinates):
1 S 0.901 0.100 0.200
2 S 0.983 0.614 0.228
3 S 0.610 0.673 0.803
4 S 0.099 0.900 0.800
5 Ba 0.331 0.270 0.540
6 Ba 0.669 0.730 0.460
7 S 0.017 0.386 0.772
8 S 0.390 0.870 0.197
9 Sn 0.000 0.741 0.000
10 Sn 0.500 0.000 0.000
11 Sn 0.000 0.259 0.000
12 S 0.610 0.130 0.803
13 S 0.390 0.327 0.197

---

No. 14
BaSnS2 | PBE | relaxed

* formation energy from raw total energies: -311 kJ/mol of formula units
* magnetization: 0.00 μB per formula unit
* volume: 161.8 Å³/f.u.

a = 8.791 Å, b = 8.791 Å, c = 8.791 Å
α = 31.20°, β = 31.20°, γ = 31.20°
Atoms (fractional coordinates):
1 Ba 0.500 0.500 0.500
2 S 0.102 0.102 0.102
3 S 0.898 0.898 0.898
4 Sn 0.000 0.000 0.000

---

No. 15
Ba3Sn5S12 | PBE | relaxed

* formation energy from raw total energies: -1737 kJ/mol of formula units
* magnetization: 0.00 μB per formula unit
* volume: 572.0 Å³/f.u.

a = 14.377 Å, b = 14.377 Å, c = 14.377 Å
α = 109.47°, β = 109.47°, γ = 109.47°
Atoms (fractional coordinates):
1 Sn 0.750 0.125 0.875
2 Sn 0.375 0.250 0.125
3 S 0.318 0.525 0.406
4 S 0.975 0.381 0.293
5 Sn 0.250 0.875 0.125
6 S 0.406 0.025 0.318
7 S 0.475 0.793 0.881
8 Sn 0.875 0.625 0.750
9 S 0.094 0.912 0.119
10 S 0.707 0.588 0.182
11 Sn 0.375 0.125 0.750
12 S 0.094 0.182 0.475
13 S 0.818 0.912 0.293
14 S 0.406 0.381 0.588
15 S 0.881 0.588 0.906
16 S 0.525 0.207 0.119
17 Sn 0.625 0.750 0.875
18 S 0.793 0.475 0.381
19 S 0.793 0.318 0.912
20 S 0.381 0.406 0.088
21 Sn 0.000 0.500 0.500
22 S 0.525 0.318 0.906
23 S 0.412 0.293 0.318
24 S 0.912 0.818 0.793
25 Ba 0.875 0.750 0.125
26 S 0.588 0.881 0.406
27 S 0.318 0.793 0.412
28 S 0.818 0.906 0.025
29 Ba 0.625 0.250 0.375
30 S 0.906 0.088 0.881
31 Sn 0.500 0.000 0.500
32 Sn 0.625 0.875 0.250
33 Ba 0.125 0.250 0.875
34 S 0.881 0.293 0.475
35 Ba 0.875 0.125 0.250
36 S 0.119 0.412 0.094
37 Sn 0.250 0.375 0.625
38 S 0.594 0.619 0.412
39 S 0.682 0.475 0.594
40 Ba 0.750 0.875 0.625
41 Sn 0.750 0.625 0.375
42 Sn 0.875 0.250 0.625
43 Ba 0.625 0.375 0.750
44 Sn 0.500 0.500 0.000
45 S 0.619 0.594 0.912
46 Ba 0.375 0.750 0.625
47 S 0.381 0.975 0.793
48 Ba 0.375 0.625 0.250
49 S 0.588 0.707 0.682
50 S 0.293 0.412 0.818
51 S 0.912 0.094 0.619
52 Sn 0.000 0.500 0.000
53 S 0.475 0.682 0.094
54 Ba 0.250 0.625 0.875
55 S 0.088 0.906 0.381
56 S 0.207 0.525 0.619
57 S 0.619 0.025 0.207
58 S 0.682 0.207 0.588
59 S 0.207 0.682 0.088
60 Sn 0.500 0.500 0.500
61 S 0.119 0.707 0.525
62 S 0.906 0.818 0.525
63 S 0.412 0.119 0.594
64 Ba 0.125 0.875 0.750
65 S 0.293 0.881 0.975
66 Sn 0.000 0.000 0.000
67 Sn 0.500 0.000 0.000
68 Ba 0.250 0.125 0.375
69 S 0.182 0.088 0.707
70 Sn 0.125 0.375 0.250
71 S 0.025 0.406 0.818
72 S 0.182 0.094 0.975
73 Sn 0.000 0.000 0.500
74 S 0.088 0.182 0.207
75 S 0.594 0.975 0.682
76 Ba 0.750 0.375 0.125
77 S 0.025 0.619 0.707
78 S 0.975 0.594 0.182
79 Sn 0.125 0.750 0.375
80 S 0.707 0.119 0.025